Entry 1:
Here is a PBEsol-optimized structure of ZrCdSn3 from Alexandria via LeMat-Bulk. Energies are from meta-GGA SCAN.

POSCAR file:
```
ZrCdSn3
1.0
5.276 0.000 0.000
0.000 5.276 0.000
0.000 0.000 5.276
Sn Cd Zr
3 1 1
direct
0.500 0.000 0.000
0.000 0.000 0.500
0.000 0.500 0.000
0.000 0.000 0.000
0.500 0.500 0.500
```

Values from the calculation:
DOS(E_F) ... 0.924 states/eV/atom
Total DFT energy (no corrections) ... -164.44 eV for the cell shown

---

Entry 2:
Here is a PBEsol-optimized structure of MgTaP2S from Alexandria via LeMat-Bulk. Energies are from meta-GGA SCAN.

POSCAR file:
```
MgTaP2S
1.0
4.710 0.000 0.000
0.000 4.804 0.000
0.000 0.000 4.804
Ta S Mg P
1 1 1 2
direct
0.000 0.000 0.000
0.500 0.000 0.000
0.500 0.500 0.500
0.000 0.500 0.000
0.000 0.000 0.500
```

Values from the calculation:
DOS(E_F) ... 0.515 states/eV/atom
Total DFT energy (no corrections) ... -102.06 eV for the cell shown
Energy relative to the elements, uncorrected ... -16 meV per atom

---

Entry 3:
Here is a PBEsol-optimized structure of GaS3N from Alexandria via LeMat-Bulk. Energies are from meta-GGA SCAN.

POSCAR file:
```
GaS3N
1.0
4.119 0.000 0.000
0.000 4.119 0.000
0.000 0.000 4.119
S Ga N
3 1 1
direct
0.500 0.000 0.000
0.000 0.000 0.500
0.000 0.500 0.000
0.500 0.500 0.500
0.000 0.000 0.000
```

Values from the calculation:
DOS(E_F) ... 0.315 states/eV/atom
Total DFT energy (no corrections) ... -49.26 eV for the cell shown
Energy relative to the elements, uncorrected ... 1053 meV per atom

---

Entry 4:
Here is a PBEsol-optimized structure of Li2P4WO13 from Alexandria via LeMat-Bulk. Energies are from meta-GGA SCAN.

POSCAR file:
```
Li2P4WO13
1.0
5.210 -0.031 -0.220
1.362 7.793 0.256
0.885 3.077 12.798
O P W Li
26 8 2 4
direct
0.728 0.957 0.656
0.479 0.766 0.838
0.922 0.282 0.246
0.782 0.906 0.141
0.527 0.707 0.321
0.218 0.094 0.859
0.346 0.460 0.889
0.203 0.520 0.428
0.078 0.718 0.754
0.484 0.406 0.297
0.927 0.188 0.446
0.240 0.965 0.151
0.516 0.594 0.703
0.521 0.234 0.162
0.473 0.293 0.679
0.654 0.540 0.111
0.862 0.224 0.965
0.138 0.776 0.035
0.180 0.024 0.658
0.820 0.976 0.342
0.120 0.661 0.235
0.880 0.339 0.765
0.073 0.812 0.554
0.797 0.480 0.572
0.272 0.043 0.344
0.760 0.035 0.849
0.071 0.833 0.131
0.334 0.579 0.326
0.666 0.421 0.674
0.645 0.375 0.196
0.985 0.116 0.354
0.355 0.625 0.804
0.015 0.884 0.646
0.929 0.167 0.869
0.529 0.970 0.245
0.471 0.030 0.755
0.931 0.682 0.480
0.069 0.318 0.520
0.486 0.718 0.997
0.514 0.282 0.003
```

Values from the calculation:
Total DFT energy (no corrections) ... -487.27 eV for the cell shown
Energy relative to the elements, uncorrected ... -2328 meV per atom

---

Entry 5:
Here is a PBEsol-optimized structure of AlW2Au from Alexandria via LeMat-Bulk. Energies are from meta-GGA SCAN.

POSCAR file:
```
AlW2Au
1.0
2.800 0.000 0.000
1.400 2.425 0.000
1.400 0.808 9.265
Au W Al
1 2 1
direct
0.000 0.000 0.000
0.248 0.248 0.255
0.752 0.752 0.745
0.500 0.500 0.500
```

Values from the calculation:
DOS(E_F) ... 0.498 states/eV/atom
Total DFT energy (no corrections) ... -215.28 eV for the cell shown

---

Entry 6:
Here is a PBEsol-optimized structure of Al2AgAu from Alexandria via LeMat-Bulk. Energies are from meta-GGA SCAN.

POSCAR file:
```
Al2AgAu
1.0
5.428 0.000 0.000
2.714 5.169 0.000
2.714 0.000 5.169
Ag Al Au
2 4 2
direct
0.250 0.500 0.500
0.500 0.000 0.000
0.107 0.018 0.518
0.643 0.982 0.482
0.375 0.518 0.982
0.875 0.482 0.018
0.000 0.000 0.000
0.750 0.500 0.500
```

Values from the calculation:
DOS(E_F) ... 0.395 states/eV/atom
Total DFT energy (no corrections) ... -232.08 eV for the cell shown

---

Entry 7:
Here is a PBEsol-optimized structure of AgAu3 from Alexandria via LeMat-Bulk. Energies are from meta-GGA SCAN.

POSCAR file:
```
AgAu3
1.0
4.909 0.000 0.000
0.000 5.791 0.000
0.000 0.000 9.458
Au Ag
12 4
direct
0.751 0.375 0.000
0.749 0.875 0.500
0.090 0.376 0.750
0.749 0.875 0.000
0.249 0.625 0.000
0.249 0.625 0.500
0.251 0.125 0.000
0.251 0.125 0.500
0.410 0.876 0.250
0.910 0.624 0.250
0.751 0.375 0.500
0.590 0.124 0.750
0.913 0.125 0.250
0.087 0.875 0.750
0.587 0.625 0.750
0.413 0.375 0.250
```

Values from the calculation:
DOS(E_F) ... 0.292 states/eV/atom
Total DFT energy (no corrections) ... -956.13 eV for the cell shown

---

Entry 8:
Here is a PBEsol-optimized structure of BaCa3Pt from Alexandria via LeMat-Bulk. Energies are from meta-GGA SCAN.

POSCAR file:
```
BaCa3Pt
1.0
-5.623 -0.204 0.740
-0.540 -2.838 -4.885
0.546 -4.911 2.792
Ca Ba Pt
3 1 1
direct
0.000 0.500 0.000
0.500 0.000 0.000
0.000 0.000 0.500
0.500 0.500 0.500
0.000 0.000 0.000
```

Values from the calculation:
DOS(E_F) ... 0.619 states/eV/atom
Total DFT energy (no corrections) ... -141.39 eV for the cell shown

---

Entry 9:
Here is a PBEsol-optimized structure of LaReRu2 from Alexandria via LeMat-Bulk. Energies are from meta-GGA SCAN.

POSCAR file:
```
LaReRu2
1.0
4.579 0.000 0.000
2.289 3.965 0.000
2.289 1.322 3.738
Ru Re La
2 1 1
direct
0.750 0.750 0.750
0.250 0.250 0.250
0.500 0.500 0.500
0.000 0.000 0.000
```

Values from the calculation:
DOS(E_F) ... 0.894 states/eV/atom
Total DFT energy (no corrections) ... -181.75 eV for the cell shown

---

Entry 10:
Here is a PBEsol-optimized structure of LiEr2Rh from Alexandria via LeMat-Bulk. Energies are from meta-GGA SCAN.

POSCAR file:
```
LiEr2Rh
1.0
4.812 0.000 0.000
2.406 4.167 0.000
2.406 1.389 3.929
Er Rh Li
2 1 1
direct
0.250 0.250 0.250
0.750 0.750 0.750
0.000 0.000 0.000
0.500 0.500 0.500
```

Values from the calculation:
DOS(E_F) ... 0.499 states/eV/atom
Total DFT energy (no corrections) ... -139.31 eV for the cell shown

---

Entry 11:
Here is a PBEsol-optimized structure of HgPb2N from Alexandria via LeMat-Bulk. Energies are from meta-GGA SCAN.

POSCAR file:
```
HgPb2N
1.0
4.959 0.000 0.000
2.479 4.295 0.000
2.479 1.432 4.049
Pb N Hg
2 1 1
direct
0.750 0.750 0.750
0.250 0.250 0.250
0.000 0.000 0.000
0.500 0.500 0.500
```

Values from the calculation:
DOS(E_F) ... 0.502 states/eV/atom
Total DFT energy (no corrections) ... -225.07 eV for the cell shown
Energy relative to the elements, uncorrected ... 988 meV per atom

---

Entry 12:
Here is a PBEsol-optimized structure of K3NdV2O8 from Alexandria via LeMat-Bulk. Energies are from meta-GGA SCAN.

POSCAR file:
```
K3NdV2O8
1.0
-4.826 0.597 -3.358
-2.808 -6.322 2.912
-4.291 5.317 7.114
K O V Nd
6 16 4 2
direct
0.250 0.687 0.580
0.250 0.137 0.914
0.750 0.004 0.691
0.750 0.863 0.086
0.250 0.996 0.309
0.750 0.313 0.420
0.750 0.965 0.409
0.250 0.472 0.958
0.489 0.749 0.834
0.011 0.749 0.834
0.250 0.330 0.421
0.989 0.251 0.166
0.750 0.528 0.042
0.012 0.338 0.668
0.511 0.251 0.166
0.750 0.670 0.579
0.250 0.035 0.591
0.512 0.662 0.332
0.988 0.662 0.332
0.250 0.791 0.081
0.488 0.338 0.668
0.750 0.209 0.919
0.750 0.741 0.413
0.750 0.307 0.077
0.250 0.259 0.587
0.250 0.693 0.923
0.250 0.494 0.208
0.750 0.506 0.792
```

Values from the calculation:
DOS(E_F) ... 0.000 states/eV/atom
Total DFT energy (no corrections) ... -385.46 eV for the cell shown
Energy relative to the elements, uncorrected ... -2810 meV per atom

---

Entry 13:
Here is a PBEsol-optimized structure of LiYAu3 from Alexandria via LeMat-Bulk. Energies are from meta-GGA SCAN.

POSCAR file:
```
LiYAu3
1.0
-0.678 -0.617 4.438
3.262 -3.145 0.061
3.071 3.204 0.915
Y Au Li
1 3 1
direct
0.500 0.500 0.500
0.500 0.000 0.000
0.000 0.500 0.000
0.000 0.000 0.500
0.000 0.000 0.000
```

Values from the calculation:
DOS(E_F) ... 0.325 states/eV/atom
Total DFT energy (no corrections) ... -240.40 eV for the cell shown

---

Entry 14:
Here is a PBEsol-optimized structure of Zn2Au from Alexandria via LeMat-Bulk. Energies are from meta-GGA SCAN.

POSCAR file:
```
Zn2Au
1.0
-2.358 -0.128 1.713
2.511 -4.432 0.640
2.784 4.151 4.144
Zn Au
4 2
direct
0.355 0.710 0.471
0.645 0.290 0.529
0.317 0.633 0.865
0.683 0.367 0.135
0.964 0.928 0.205
0.036 0.072 0.795
```

Values from the calculation:
DOS(E_F) ... 0.257 states/eV/atom
Total DFT energy (no corrections) ... -193.48 eV for the cell shown

---

Entry 15:
Here is a PBEsol-optimized structure of BeRe2Sn from Alexandria via LeMat-Bulk. Energies are from meta-GGA SCAN.

POSCAR file:
```
BeRe2Sn
1.0
-0.979 3.987 -1.411
-1.822 2.871 2.699
2.283 3.418 1.397
Sn Be Re
1 1 2
direct
0.500 0.500 0.500
0.000 0.000 0.000
0.250 0.250 0.250
0.750 0.750 0.750
```

Values from the calculation:
DOS(E_F) ... 1.096 states/eV/atom
Total DFT energy (no corrections) ... -179.80 eV for the cell shown

---

Entry 16:
Here is a PBEsol-optimized structure of KBaRh2 from Alexandria via LeMat-Bulk. Energies are from meta-GGA SCAN.

POSCAR file:
```
KBaRh2
1.0
3.237 0.000 0.000
0.000 3.766 0.000
0.000 0.000 9.407
K Rh Ba
1 2 1
direct
0.500 0.500 0.839
0.500 0.500 0.169
0.000 0.000 0.096
0.000 0.000 0.396
```

Values from the calculation:
DOS(E_F) ... 1.127 states/eV/atom
Total DFT energy (no corrections) ... -114.28 eV for the cell shown

---

Entry 17:
Here is a PBEsol-optimized structure of YMg2Cu from Alexandria via LeMat-Bulk. Energies are from meta-GGA SCAN.

POSCAR file:
```
YMg2Cu
1.0
4.839 0.000 0.000
2.420 4.191 0.000
2.420 1.397 3.951
Cu Mg Y
1 2 1
direct
0.500 0.500 0.500
0.000 0.000 0.000
0.750 0.750 0.750
0.250 0.250 0.250
```

Values from the calculation:
DOS(E_F) ... 0.618 states/eV/atom
Total DFT energy (no corrections) ... -53.44 eV for the cell shown

---

Entry 18:
Here is a PBEsol-optimized structure of BiSbTe3 from Alexandria via LeMat-Bulk. Energies are from meta-GGA SCAN.

POSCAR file:
```
BiSbTe3
1.0
-2.671 0.928 3.275
-4.265 -0.567 -0.460
-1.429 -9.273 4.319
Te Sb Bi
3 1 1
direct
0.998 0.998 0.006
0.791 0.791 0.626
0.211 0.211 0.366
0.600 0.600 0.199
0.399 0.399 0.803
```

Values from the calculation:
Total DFT energy (no corrections) ... -228.25 eV for the cell shown
Energy relative to the elements, uncorrected ... -132 meV per atom

---

Entry 19:
Here is a PBEsol-optimized structure of BeCrSe2 from Alexandria via LeMat-Bulk. Energies are from meta-GGA SCAN.

POSCAR file:
```
BeCrSe2
1.0
-0.482 -3.431 -0.754
2.777 -2.203 -0.088
0.025 -3.041 5.490
Be Se Cr
1 2 1
direct
0.000 0.000 0.000
0.257 0.257 0.229
0.743 0.743 0.771
0.500 0.500 0.500
```

Values from the calculation:
DOS(E_F) ... 0.356 states/eV/atom
Total DFT energy (no corrections) ... -64.77 eV for the cell shown
Energy relative to the elements, uncorrected ... -470 meV per atom

---

Entry 20:
Here is a PBEsol-optimized structure of LiMn8O16 from Alexandria via LeMat-Bulk. Energies are from meta-GGA SCAN.

POSCAR file:
```
LiMn8O16
1.0
-1.536 5.279 -1.402
-5.363 0.024 5.967
7.863 4.161 7.051
O Mn Li
32 16 2
direct
0.222 0.264 0.250
0.776 0.237 0.000
0.500 0.986 0.389
0.500 0.514 0.639
0.000 0.014 0.889
0.224 0.237 0.000
0.778 0.264 0.250
0.722 0.736 0.250
0.500 0.514 0.361
0.500 0.512 0.138
0.722 0.736 0.750
0.500 0.986 0.889
0.500 0.512 0.862
0.000 0.486 0.139
0.000 0.486 0.861
0.000 0.488 0.638
0.500 0.986 0.111
0.278 0.736 0.750
0.000 0.014 0.611
0.278 0.764 0.000
0.222 0.264 0.750
0.000 0.488 0.362
0.276 0.763 0.500
0.724 0.763 0.500
0.778 0.236 0.500
0.000 0.014 0.389
0.222 0.236 0.500
0.722 0.764 0.000
0.278 0.736 0.250
0.778 0.264 0.750
0.000 0.014 0.111
0.500 0.986 0.611
0.249 0.999 0.000
0.000 0.247 0.625
0.749 0.001 0.500
0.500 0.753 0.125
0.751 0.999 0.000
0.750 0.500 0.750
0.750 0.500 0.250
0.251 0.001 0.500
0.500 0.751 0.627
0.000 0.249 0.873
0.500 0.751 0.373
0.000 0.249 0.127
0.250 0.500 0.250
0.000 0.247 0.375
0.250 0.500 0.750
0.500 0.753 0.875
0.500 0.374 0.000
0.000 0.626 0.500
```

Values from the calculation:
DOS(E_F) ... 0.145 states/eV/atom
Total DFT energy (no corrections) ... -602.10 eV for the cell shown
Energy relative to the elements, uncorrected ... -2117 meV per atom

---

Entry 21:
Here is a PBEsol-optimized structure of Co2SbSe from Alexandria via LeMat-Bulk. Energies are from meta-GGA SCAN.

POSCAR file:
```
Co2SbSe
1.0
3.607 0.000 0.000
0.000 3.607 0.000
-1.804 -1.804 4.492
Co Sb Se
2 1 1
direct
0.000 0.000 0.000
0.750 0.250 0.500
0.500 0.500 0.000
0.250 0.750 0.500
```

Values from the calculation:
DOS(E_F) ... 0.279 states/eV/atom
Total DFT energy (no corrections) ... -89.85 eV for the cell shown
Energy relative to the elements, uncorrected ... 524 meV per atom

---

Entry 22:
Here is a PBEsol-optimized structure of Cs3SiAg from Alexandria via LeMat-Bulk. Energies are from meta-GGA SCAN.

POSCAR file:
```
Cs3SiAg
1.0
-1.160 -1.182 -6.404
6.456 0.643 -1.289
0.853 -6.476 1.040
Ag Cs Si
1 3 1
direct
0.000 0.000 0.000
0.500 0.000 0.000
0.000 0.500 0.000
0.000 0.000 0.500
0.500 0.500 0.500
```

Values from the calculation:
DOS(E_F) ... 0.900 states/eV/atom
Total DFT energy (no corrections) ... -152.35 eV for the cell shown
Energy relative to the elements, uncorrected ... 493 meV per atom

---

Entry 23:
Here is a PBEsol-optimized structure of CdHgBi2Mo from Alexandria via LeMat-Bulk. Energies are from meta-GGA SCAN.

POSCAR file:
```
CdHgBi2Mo
1.0
5.320 0.000 0.000
0.000 5.475 0.000
0.000 0.000 5.475
Bi Hg Cd Mo
2 1 1 1
direct
0.000 0.500 0.000
0.000 0.000 0.500
0.500 0.500 0.500
0.000 0.000 0.000
0.500 0.000 0.000
```

Values from the calculation:
DOS(E_F) ... 0.528 states/eV/atom
Total DFT energy (no corrections) ... -284.55 eV for the cell shown